Below is CeNpCoO6 after structural relaxation, with properties calculated at the PBE with a Hubbard U level.

```
data_CeNpCoO6
_cell_length_a 5.7900
_cell_length_b 5.7900
_cell_length_c 8.6454
_cell_angle_alpha 90.00
_cell_angle_beta 90.00
_cell_angle_gamma 120.00
_symmetry_space_group_name_H-M 'P -3 1 c'
_symmetry_Int_Tables_number 163
_symmetry_space_group_name_Hall '-P 3 2c'
loop_
_atom_site_label
_atom_site_fract_x
_atom_site_fract_y
_atom_site_fract_z
Ce1 0.3333 0.6667 0.2500
Np1 0.3333 0.6667 0.7500
Co1 0.0000 0.0000 0.0000
O1 0.0272 0.3557 0.6305
```

Properties
The calculation puts the density at 7.040 Mg/m³. As for the calculated total energy: -0.6087 Ry per atom. The calculation puts the total magnetization at 2.0 μB per formula unit.